Computed, not measured: a geometry-optimized TaCrCd structure at the PBE level of DFT.

As for the space-group type: Fmm2, No. 42. As for the crystal system: orthorhombic. As for the distance to the lowest polymorph of the same formula: 0.014 eV per atom.

abc: 7.1781 6.9965 2.8233
angles: 82.15 74.92 22.93
Last column: nearest neighbours and their distance in Å.
Atoms (fractional coordinates):
1 Cd 0.9935 0.9935 0.0065  4 Cd 2.82, 2 Cr 2.84, 2 Ta 3.06
2 Cr 0.3235 0.3235 0.6765  2 Ta 2.52
3 Ta 0.6830 0.6830 0.3170  2 Cr 2.52

Computed, not measured: a geometry-optimized TaCrCd structure at the PBE level of DFT.

As for the space-group type: I4mm, No. 107. As for the crystal system: tetragonal. As for the distance to the lowest polymorph of the same formula: 0.039 eV per atom.

abc: 6.7026 6.7026 6.7026
angles: 155.02 155.02 35.63
Last column: nearest neighbours and their distance in Å.
Atoms (fractional coordinates):
1 Cd 0.9942 0.9942 0.0000  4 Cd 2.90, 4 Cr 2.98, 4 Ta 3.14
2 Cr 0.3252 0.3252 0.0000  4 Ta 2.76, 4 Cr 2.90, 4 Cd 2.98
3 Ta 0.6806 0.6806 0.0000  4 Cr 2.76, 4 Ta 2.90

Computed, not measured: a geometry-optimized Ta2CrCd structure at the PBE level of DFT.

As for the space-group type: Cmmm, No. 65. As for the crystal system: orthorhombic.

abc: 2.8574 2.8574 9.0760
angles: 90.00 90.00 110.78
Last column: nearest neighbours and their distance in Å.
Atoms (fractional coordinates):
1 Cd 0.5000 0.5000 0.2500  4 Cd 2.86, 4 Ta 3.04
2 Cr 0.5000 0.5000 0.7500  4 Ta 2.55
3 Ta 0.0000 0.0000 0.9661  2 Cr 2.55
4 Ta 0.0000 0.0000 0.5339  2 Cr 2.55

Number 1: DFT formation energy 0.373 eV/atom, raw total energy -21.3 eV per cell. Number 2: DFT formation energy 0.398 eV/atom, raw total energy -21.2 eV per cell. Number 3: DFT formation energy 0.210 eV/atom, raw total energy -33.4 eV per cell.